Below is a geometry-optimized Na2ScIrO6 structure, with properties calculated at the PBE level.

Lattice parameters (Å, degrees): 5.504 5.555 9.581 90.00 124.97 90.00
Sites, in units of the cell vectors:
Na (0.246, 0.029, 0.250)
Na (0.246, 0.471, 0.750)
Na (0.754, 0.529, 0.250)
Na (0.754, 0.971, 0.750)
Sc (0.500, 0.000, 0.000)
Sc (0.500, 0.500, 0.500)
Ir (0.000, 0.000, 0.500)
Ir (0.000, 0.500, 0.000)
O (0.161, 0.220, 0.965)
O (0.161, 0.280, 0.465)
O (0.246, 0.699, 0.966)
O (0.246, 0.801, 0.466)
O (0.306, 0.014, 0.739)
O (0.306, 0.486, 0.239)
O (0.694, 0.514, 0.761)
O (0.694, 0.986, 0.261)
O (0.754, 0.199, 0.534)
O (0.754, 0.301, 0.034)
O (0.839, 0.720, 0.535)
O (0.839, 0.780, 0.035)

Uncorrected formation energy = -1667 meV per atom
Crystal system = monoclinic